Version A
# GGA-PBE Dy3Er2Tl2, relaxed
# Crystal system: orthorhombic
# DOS at the Fermi energy: 11.62 states/eV/cell
# Total magnetic moment: 0.43 μB/f.u.
data_Dy3Er2Tl2
_cell_length_a 4.9866
_cell_length_b 23.3373
_cell_length_c 3.4836
_cell_angle_alpha 90.00
_cell_angle_beta 90.00
_cell_angle_gamma 90.00
_space_group_name_H-M_alt 'C m m m'
_space_group_IT_number 65
_space_group_name_Hall '-C 2 2'
loop_
_atom_site_label
_atom_site_fract_x
_atom_site_fract_y
_atom_site_fract_z
Dy1 0.0000 0.0000 0.0000
Dy2 0.0000 0.1469 0.0000
Er1 0.0000 0.2858 0.5000
Tl1 0.0000 0.4270 0.5000

Version B
# GGA-PBE Dy3Er2Tl2, relaxed
# Crystal system: monoclinic
# DOS at the Fermi energy: 11.44 states/eV/cell
# Total magnetic moment: 0.00 μB/f.u.
data_Dy3Er2Tl2
_cell_length_a 9.3193
_cell_length_b 5.3840
_cell_length_c 8.5837
_cell_angle_alpha 90.00
_cell_angle_beta 111.27
_cell_angle_gamma 90.00
_space_group_name_H-M_alt 'C 1 2/m 1'
_space_group_IT_number 12
loop_
_space_group_symop_operation_xyz
'x,y,z'
'-x,-y,-z'
'-x,y,-z'
'x,-y,z'
'x+1/2,y+1/2,z'
'-x+1/2,-y+1/2,-z'
'-x+1/2,y+1/2,-z'
'x+1/2,-y+1/2,z'
loop_
_atom_site_label
_atom_site_fract_x
_atom_site_fract_y
_atom_site_fract_z
Dy1 0.0000 0.0000 0.0000
Dy2 0.1545 0.0000 0.4636
Er1 0.0740 0.5000 0.7216
Tl1 0.2158 0.5000 0.1478

What should be chosen as the least stable of them? Choose version A.

Version A
# GGA-PBE DyEr3Tl2, relaxed
# Crystal system: orthorhombic
# DOS at the Fermi energy: 11.87 states/eV/cell
# Total magnetic moment: 0.00 μB/f.u.
data_DyEr3Tl2
_cell_length_a 5.0527
_cell_length_b 9.8974
_cell_length_c 6.7952
_cell_angle_alpha 90.00
_cell_angle_beta 90.00
_cell_angle_gamma 90.00
_space_group_name_H-M_alt 'P m c 21'
_space_group_IT_number 26
loop_
_space_group_symop_operation_xyz
'x,y,z'
'-x,-y,z+1/2'
'-x,y,z'
'x,-y,z+1/2'
loop_
_atom_site_label
_atom_site_fract_x
_atom_site_fract_y
_atom_site_fract_z
Dy1 0.0000 0.0425 0.0000
Er1 0.0000 0.3132 0.6230
Er2 0.5000 0.1895 0.2827
Er3 0.5000 0.4571 0.9068
Tl1 0.0000 0.3673 0.1613
Tl2 0.5000 0.1331 0.7442

Version B
# GGA-PBE DyEr3Tl2, relaxed
# Crystal system: orthorhombic
# DOS at the Fermi energy: 12.07 states/eV/cell
# Total magnetic moment: 0.00 μB/f.u.
data_DyEr3Tl2
_cell_length_a 4.8618
_cell_length_b 15.4601
_cell_length_c 4.4661
_cell_angle_alpha 90.00
_cell_angle_beta 90.00
_cell_angle_gamma 90.00
_space_group_name_H-M_alt 'C m m m'
_space_group_IT_number 65
_space_group_name_Hall '-C 2 2'
loop_
_atom_site_label
_atom_site_fract_x
_atom_site_fract_y
_atom_site_fract_z
Dy1 0.0000 0.0000 0.0000
Er1 0.0000 0.1725 0.5000
Er2 0.0000 0.5000 0.5000
Tl1 0.0000 0.3470 0.0000

What should be chosen as the least stable of them? Choose version B.

Version A
# GGA-PBE Dy3ErTl, relaxed
# Crystal system: monoclinic
# DOS at the Fermi energy: 52.69 states/eV/cell
# Total magnetic moment: 0.00 μB/f.u.
data_Dy3ErTl
_cell_length_a 14.5482
_cell_length_b 13.1173
_cell_length_c 6.5190
_cell_angle_alpha 90.00
_cell_angle_beta 104.01
_cell_angle_gamma 90.00
_space_group_name_H-M_alt 'C 1 2/c 1'
_space_group_IT_number 15
loop_
_space_group_symop_operation_xyz
'x,y,z'
'-x,-y,-z'
'-x,y,-z+1/2'
'x,-y,z+1/2'
'x+1/2,y+1/2,z'
'-x+1/2,-y+1/2,-z'
'-x+1/2,y+1/2,-z+1/2'
'x+1/2,-y+1/2,z+1/2'
loop_
_atom_site_label
_atom_site_fract_x
_atom_site_fract_y
_atom_site_fract_z
Dy1 0.0960 0.1899 0.4790
Dy2 0.1886 0.3111 0.1415
Dy3 0.1977 0.4288 0.6425
Er1 0.1040 0.0667 0.9605
Tl1 0.0000 0.3356 0.7500
Tl2 0.0000 0.4160 0.2500

Version B
# GGA-PBE Dy3ErTl, relaxed
# Crystal system: orthorhombic
# DOS at the Fermi energy: 22.34 states/eV/cell
# Total magnetic moment: 0.00 μB/f.u.
data_Dy3ErTl
_cell_length_a 4.8038
_cell_length_b 25.2261
_cell_length_c 4.7920
_cell_angle_alpha 90.00
_cell_angle_beta 90.00
_cell_angle_gamma 90.00
_space_group_name_H-M_alt 'C m c m'
_space_group_IT_number 63
_space_group_name_Hall '-C 2c 2'
loop_
_atom_site_label
_atom_site_fract_x
_atom_site_fract_y
_atom_site_fract_z
Dy1 0.0000 0.0489 0.2500
Dy2 0.0000 0.2503 0.2500
Dy3 0.0000 0.4479 0.2500
Er1 0.0000 0.1498 0.7500
Tl1 0.0000 0.3480 0.7500

What should be chosen as the least stable of them? Choose version A.

Version A
# GGA-PBE Dy2Er2Tl3, relaxed
# Crystal system: monoclinic
# DOS at the Fermi energy: 14.12 states/eV/cell
# Total magnetic moment: 0.00 μB/f.u.
data_Dy2Er2Tl3
_cell_length_a 13.0254
_cell_length_b 3.7510
_cell_length_c 8.2499
_cell_angle_alpha 90.00
_cell_angle_beta 100.79
_cell_angle_gamma 90.00
_space_group_name_H-M_alt 'C 1 2/m 1'
_space_group_IT_number 12
loop_
_space_group_symop_operation_xyz
'x,y,z'
'-x,-y,-z'
'-x,y,-z'
'x,-y,z'
'x+1/2,y+1/2,z'
'-x+1/2,-y+1/2,-z'
'-x+1/2,y+1/2,-z'
'x+1/2,-y+1/2,z'
loop_
_atom_site_label
_atom_site_fract_x
_atom_site_fract_y
_atom_site_fract_z
Dy1 0.2030 0.0000 0.1500
Er1 0.0681 0.0000 0.7206
Tl1 0.0000 0.5000 0.0000
Tl2 0.1453 0.5000 0.4545

Version B
# GGA-PBE Dy2Er2Tl3, relaxed
# Crystal system: orthorhombic
# DOS at the Fermi energy: 14.54 states/eV/cell
# Total magnetic moment: 0.11 μB/f.u.
data_Dy2Er2Tl3
_cell_length_a 3.4985
_cell_length_b 31.8445
_cell_length_c 3.5518
_cell_angle_alpha 90.00
_cell_angle_beta 90.00
_cell_angle_gamma 90.00
_space_group_name_H-M_alt 'C m m m'
_space_group_IT_number 65
_space_group_name_Hall '-C 2 2'
loop_
_atom_site_label
_atom_site_fract_x
_atom_site_fract_y
_atom_site_fract_z
Dy1 0.0000 0.0683 0.0000
Er1 0.0000 0.2021 0.0000
Tl1 0.0000 0.3634 0.5000
Tl2 0.0000 0.5000 0.5000

What should be chosen as the least stable of them? Choose version B.

Version A
# GGA-PBE Dy3ErTl4, relaxed
# Crystal system: orthorhombic
# DOS at the Fermi energy: 13.00 states/eV/cell
# Total magnetic moment: 0.00 μB/f.u.
data_Dy3ErTl4
_cell_length_a 10.6436
_cell_length_b 6.4940
_cell_length_c 6.5277
_cell_angle_alpha 90.00
_cell_angle_beta 90.00
_cell_angle_gamma 90.00
_space_group_name_H-M_alt 'P m n 21'
_space_group_IT_number 31
loop_
_space_group_symop_operation_xyz
'x,y,z'
'-x+1/2,-y,z+1/2'
'-x,y,z'
'x+1/2,-y,z+1/2'
loop_
_atom_site_label
_atom_site_fract_x
_atom_site_fract_y
_atom_site_fract_z
Dy1 0.0000 0.0521 0.0000
Dy2 0.2490 0.7476 0.1810
Er1 0.0000 0.5507 0.8603
Tl1 0.0000 0.0143 0.4916
Tl2 0.0000 0.5125 0.3698
Tl3 0.2483 0.7524 0.6813

Version B
# GGA-PBE Dy3ErTl4, relaxed
# Crystal system: tetragonal
# DOS at the Fermi energy: 5.53 states/eV/cell
# Total magnetic moment: 0.00 μB/f.u.
data_Dy3ErTl4
_cell_length_a 3.7807
_cell_length_b 3.7807
_cell_length_c 15.1482
_cell_angle_alpha 90.00
_cell_angle_beta 90.00
_cell_angle_gamma 90.00
_space_group_name_H-M_alt 'P 4/m m m'
_space_group_IT_number 123
_space_group_name_Hall '-P 4 2'
loop_
_atom_site_label
_atom_site_fract_x
_atom_site_fract_y
_atom_site_fract_z
Dy1 0.0000 0.0000 0.0000
Dy2 0.0000 0.0000 0.2514
Er1 0.0000 0.0000 0.5000
Tl1 0.5000 0.5000 0.1257
Tl2 0.5000 0.5000 0.3771

What should be chosen as the least stable of them? Choose version A.

Version A
# GGA-PBE Dy2Er5Tl, relaxed
# Crystal system: orthorhombic
# DOS at the Fermi energy: 19.89 states/eV/cell
# Total magnetic moment: 0.00 μB/f.u.
data_Dy2Er5Tl
_cell_length_a 9.5150
_cell_length_b 14.3099
_cell_length_c 3.4997
_cell_angle_alpha 90.00
_cell_angle_beta 90.00
_cell_angle_gamma 90.00
_space_group_name_H-M_alt 'C m m m'
_space_group_IT_number 65
_space_group_name_Hall '-C 2 2'
loop_
_atom_site_label
_atom_site_fract_x
_atom_site_fract_y
_atom_site_fract_z
Dy1 0.0000 0.2310 0.0000
Er1 0.0000 0.0000 0.0000
Er2 0.2337 0.3770 0.5000
Tl1 0.0000 0.5000 0.0000

Version B
# GGA-PBE Dy2Er5Tl, relaxed
# Crystal system: orthorhombic
# DOS at the Fermi energy: 22.49 states/eV/cell
# Total magnetic moment: 0.00 μB/f.u.
data_Dy2Er5Tl
_cell_length_a 6.9229
_cell_length_b 13.9177
_cell_length_c 4.9215
_cell_angle_alpha 90.00
_cell_angle_beta 90.00
_cell_angle_gamma 90.00
_space_group_name_H-M_alt 'P b a m'
_space_group_IT_number 55
loop_
_space_group_symop_operation_xyz
'x,y,z'
'-x,-y,-z'
'-x,-y,z'
'x,y,-z'
'x+1/2,-y+1/2,-z'
'-x+1/2,y+1/2,z'
'-x+1/2,y+1/2,-z'
'x+1/2,-y+1/2,z'
loop_
_atom_site_label
_atom_site_fract_x
_atom_site_fract_y
_atom_site_fract_z
Dy1 0.2452 0.1269 0.0000
Er1 0.0000 0.0000 0.5000
Er2 0.0022 0.2556 0.5000
Er3 0.2438 0.8744 0.0000
Tl1 0.0000 0.5000 0.5000

What should be chosen as the least stable of them? Choose version B.

Version A
# GGA-PBE Dy2ErTl4, relaxed
# Crystal system: tetragonal
# DOS at the Fermi energy: 12.46 states/eV/cell
# Total magnetic moment: 0.00 μB/f.u.
data_Dy2ErTl4
_cell_length_a 7.4343
_cell_length_b 7.4343
_cell_length_c 7.5349
_cell_angle_alpha 90.00
_cell_angle_beta 90.00
_cell_angle_gamma 90.00
_space_group_name_H-M_alt 'I 4/m m m'
_space_group_IT_number 139
_space_group_name_Hall '-I 4 2'
loop_
_atom_site_label
_atom_site_fract_x
_atom_site_fract_y
_atom_site_fract_z
Dy1 0.0000 0.5000 0.0000
Er1 0.0000 0.0000 0.0000
Tl1 0.2500 0.2500 0.2500

Version B
# GGA-PBE Dy2ErTl4, relaxed
# Crystal system: trigonal
# DOS at the Fermi energy: 14.79 states/eV/cell
# Total magnetic moment: 0.00 μB/f.u.
data_Dy2ErTl4
_cell_length_a 4.8624
_cell_length_b 4.8624
_cell_length_c 30.3628
_cell_angle_alpha 90.00
_cell_angle_beta 90.00
_cell_angle_gamma 120.00
_space_group_name_H-M_alt 'R -3 m'
_space_group_IT_number 166
_space_group_name_Hall '-R 3 2"'
loop_
_atom_site_label
_atom_site_fract_x
_atom_site_fract_y
_atom_site_fract_z
Dy1 0.0000 0.0000 0.1289
Er1 0.0000 0.0000 0.0000
Tl1 0.0000 0.0000 0.2436
Tl2 0.0000 0.0000 0.3812

What should be chosen as the least stable of them? Choose version B.

Version A
# GGA-PBE Dy6Er2Tl, relaxed
# Crystal system: monoclinic
# DOS at the Fermi energy: 45.75 states/eV/cell
# Total magnetic moment: 0.00 μB/f.u.
data_Dy6Er2Tl
_cell_length_a 20.5700
_cell_length_b 9.1132
_cell_length_c 6.0954
_cell_angle_alpha 90.00
_cell_angle_beta 107.21
_cell_angle_gamma 90.00
_space_group_name_H-M_alt 'C 1 2/c 1'
_space_group_IT_number 15
loop_
_space_group_symop_operation_xyz
'x,y,z'
'-x,-y,-z'
'-x,y,-z+1/2'
'x,-y,z+1/2'
'x+1/2,y+1/2,z'
'-x+1/2,-y+1/2,-z'
'-x+1/2,y+1/2,-z+1/2'
'x+1/2,-y+1/2,z+1/2'
loop_
_atom_site_label
_atom_site_fract_x
_atom_site_fract_y
_atom_site_fract_z
Dy1 0.0793 0.0727 0.4359
Dy2 0.0796 0.4263 0.2255
Dy3 0.1689 0.2503 0.9188
Er1 0.2497 0.0792 0.4360
Tl1 0.0000 0.2510 0.7500

Version B
# GGA-PBE Dy6Er2Tl, relaxed
# Crystal system: tetragonal
# DOS at the Fermi energy: 27.54 states/eV/cell
# Total magnetic moment: 0.00 μB/f.u.
data_Dy6Er2Tl
_cell_length_a 10.5811
_cell_length_b 10.5811
_cell_length_c 4.8703
_cell_angle_alpha 90.00
_cell_angle_beta 90.00
_cell_angle_gamma 90.00
_space_group_name_H-M_alt 'P 42/m n m'
_space_group_IT_number 136
_space_group_name_Hall '-P 4n 2n'
loop_
_atom_site_label
_atom_site_fract_x
_atom_site_fract_y
_atom_site_fract_z
Dy1 0.0006 0.3356 0.0000
Dy2 0.1622 0.1622 0.5000
Er1 0.1624 0.8376 0.5000
Tl1 0.0000 0.0000 0.0000

What should be chosen as the least stable of them? Choose version A.

Version A
# GGA-PBE DyEr2Tl4, relaxed
# Crystal system: monoclinic
# DOS at the Fermi energy: 6.56 states/eV/cell
# Total magnetic moment: 0.00 μB/f.u.
data_DyEr2Tl4
_cell_length_a 5.9130
_cell_length_b 3.4714
_cell_length_c 10.4882
_cell_angle_alpha 90.00
_cell_angle_beta 103.76
_cell_angle_gamma 90.00
_space_group_name_H-M_alt 'P 1 m 1'
_space_group_IT_number 6
loop_
_space_group_symop_operation_xyz
'x,y,z'
'x,-y,z'
loop_
_atom_site_label
_atom_site_fract_x
_atom_site_fract_y
_atom_site_fract_z
Dy1 0.0000 0.0000 0.0000
Er1 0.2865 0.5000 0.5887
Er2 0.7154 0.5000 0.4112
Tl1 0.1517 0.5000 0.2777
Tl2 0.4299 0.0000 0.8502
Tl3 0.5703 0.0000 0.1497
Tl4 0.8496 0.5000 0.7222

Version B
# GGA-PBE DyEr2Tl4, relaxed
# Crystal system: tetragonal
# DOS at the Fermi energy: 11.62 states/eV/cell
# Total magnetic moment: 0.00 μB/f.u.
data_DyEr2Tl4
_cell_length_a 7.4695
_cell_length_b 7.4695
_cell_length_c 7.4107
_cell_angle_alpha 90.00
_cell_angle_beta 90.00
_cell_angle_gamma 90.00
_space_group_name_H-M_alt 'I 4/m m m'
_space_group_IT_number 139
_space_group_name_Hall '-I 4 2'
loop_
_atom_site_label
_atom_site_fract_x
_atom_site_fract_y
_atom_site_fract_z
Dy1 0.0000 0.0000 0.0000
Er1 0.0000 0.5000 0.0000
Tl1 0.2500 0.2500 0.2500

What should be chosen as the least stable of them? Choose version A.

Version A
# GGA-PBE DyErTmTl, relaxed
# Crystal system: orthorhombic
# DOS at the Fermi energy: 5.25 states/eV/cell
# Total magnetic moment: 0.66 μB/f.u.
data_DyErTmTl
_cell_length_a 4.8069
_cell_length_b 4.8186
_cell_length_c 4.8232
_cell_angle_alpha 90.00
_cell_angle_beta 90.00
_cell_angle_gamma 90.00
_space_group_name_H-M_alt 'P m m m'
_space_group_IT_number 47
loop_
_space_group_symop_operation_xyz
'x,y,z'
'-x,-y,-z'
'-x,-y,z'
'x,y,-z'
'x,-y,-z'
'-x,y,z'
'-x,y,-z'
'x,-y,z'
loop_
_atom_site_label
_atom_site_fract_x
_atom_site_fract_y
_atom_site_fract_z
Dy1 0.0000 0.0000 0.0000
Er1 0.5000 0.5000 0.0000
Tm1 0.5000 0.0000 0.5000
Tl1 0.0000 0.5000 0.5000

Version B
# GGA-PBE DyErTmTl, relaxed
# Crystal system: cubic
# DOS at the Fermi energy: 23.53 states/eV/cell
# Total magnetic moment: 1.24 μB/f.u.
data_DyErTmTl
_cell_length_a 7.6751
_cell_length_b 7.6751
_cell_length_c 7.6751
_cell_angle_alpha 90.00
_cell_angle_beta 90.00
_cell_angle_gamma 90.00
_space_group_name_H-M_alt 'F -4 3 m'
_space_group_IT_number 216
_space_group_name_Hall 'F -4 2 3'
loop_
_atom_site_label
_atom_site_fract_x
_atom_site_fract_y
_atom_site_fract_z
Dy1 0.0000 0.0000 0.0000
Er1 0.0000 0.0000 0.5000
Tm1 0.2500 0.2500 0.2500
Tl1 0.2500 0.2500 0.7500

What should be chosen as the least stable of them? Choose version B.

Version A
# GGA-PBE DyYErTl, relaxed
# Crystal system: cubic
# DOS at the Fermi energy: 21.71 states/eV/cell
# Total magnetic moment: 1.45 μB/f.u.
data_DyYErTl
_cell_length_a 7.7184
_cell_length_b 7.7184
_cell_length_c 7.7184
_cell_angle_alpha 90.00
_cell_angle_beta 90.00
_cell_angle_gamma 90.00
_space_group_name_H-M_alt 'F -4 3 m'
_space_group_IT_number 216
_space_group_name_Hall 'F -4 2 3'
loop_
_atom_site_label
_atom_site_fract_x
_atom_site_fract_y
_atom_site_fract_z
Dy1 0.0000 0.0000 0.0000
Y1 0.0000 0.0000 0.5000
Er1 0.2500 0.2500 0.7500
Tl1 0.2500 0.2500 0.2500

Version B
# GGA-PBE DyYErTl, relaxed
# Crystal system: orthorhombic
# DOS at the Fermi energy: 4.66 states/eV/cell
# Total magnetic moment: 0.98 μB/f.u.
data_DyYErTl
_cell_length_a 4.8271
_cell_length_b 4.8385
_cell_length_c 4.8647
_cell_angle_alpha 90.00
_cell_angle_beta 90.00
_cell_angle_gamma 90.00
_space_group_name_H-M_alt 'P m m m'
_space_group_IT_number 47
loop_
_space_group_symop_operation_xyz
'x,y,z'
'-x,-y,-z'
'-x,-y,z'
'x,y,-z'
'x,-y,-z'
'-x,y,z'
'-x,y,-z'
'x,-y,z'
loop_
_atom_site_label
_atom_site_fract_x
_atom_site_fract_y
_atom_site_fract_z
Dy1 0.0000 0.0000 0.0000
Y1 0.5000 0.0000 0.5000
Er1 0.5000 0.5000 0.0000
Tl1 0.0000 0.5000 0.5000

What should be chosen as the least stable of them? Choose version A.